Entry 1:
Density functional theory data (PBE) for crystalline CsGaC2 at its relaxed geometry.

Results
- Volume: 20.1 A^3/atom
- E_form: 6.499 eV per formula unit
- N(E_F): 0.742 states/eV/atom

a b c (Å): 5.073 5.073 12.522
angles (deg): 90.00 90.00 90.00
Space group I4_1/amd (No. 141, origin choice 2)
Inequivalent atoms, fractional coordinates:
Cs 0.000 0.250 0.375 [4 per cell]
Ga 0.000 0.250 0.875 [4 per cell]
C 0.000 0.000 0.000 [8 per cell]

=====

Entry 2:
Density functional theory data (PBE) for crystalline CsHf2GaC at its relaxed geometry.

Results
- Volume: 25.9 A^3/atom
- E_form: 3.733 eV per formula unit
- N(E_F): 0.839 states/eV/atom

a b c (Å): 4.500 4.500 6.407
angles (deg): 90.00 90.00 90.00
Space group P4/mmm (No. 123)
Inequivalent atoms, fractional coordinates:
Cs 0.000 0.000 0.000 [1 per cell]
Hf 0.000 0.500 0.500 [2 per cell]
Ga 0.500 0.500 0.000 [1 per cell]
C 0.000 0.000 0.500 [1 per cell]